[1]
Sm7RuS5 | GGA-PBE | optimized geometry

Density of states at the Fermi level: 17.7 states/eV/cell
SG: Cm, No. 8
Uncorrected formation energy: -1.58 eV per atom

Cell lengths 6.8844, 6.8844, 24.1279 Å; angles 90.02, 90.02, 33.34 degrees
Last column: nearest neighbours and their distance in Å.
Sites, in units of the cell vectors:
1 Sm 0.0000 0.0000 0.0000  3 S 2.79-2.90, 2 Ru 3.00
2 Sm 0.0000 0.0000 0.1412  3 S 2.79-2.90, 2 Ru 3.00
3 Sm 0.1085 0.1085 0.7101  5 S 2.82-2.91
4 Sm 0.1090 0.1090 0.4308  5 S 2.82-2.91
5 Sm 0.2868 0.2868 0.2103  5 S 2.82-2.91
6 Sm 0.2868 0.2868 0.9309  5 S 2.82-2.91
7 Sm 0.3954 0.3954 0.6411  3 S 2.79-2.90, 2 Ru 3.00
8 Sm 0.3958 0.3958 0.5000  3 S 2.79-2.90, 2 Ru 3.00
9 Sm 0.5584 0.5584 0.8564  6 S 2.80-2.83
10 Sm 0.5586 0.5586 0.2848  6 S 2.80-2.83
11 Sm 0.6582 0.6582 0.5706  2 Ru 2.80, 2 S 2.88
12 Sm 0.7374 0.7374 0.0706  2 Ru 2.80, 2 S 2.88
13 Sm 0.8372 0.8372 0.3564  6 S 2.80-2.83
14 Sm 0.8369 0.8369 0.7848  6 S 2.80-2.83
15 Ru 0.0079 0.0079 0.5709  6 Sm 2.80-3.00
16 Ru 0.3877 0.3877 0.0705  6 Sm 2.80-3.00
17 S 0.1979 0.1979 0.3206  6 Sm 2.83-2.91
18 S 0.1976 0.1976 0.8205  6 Sm 2.83-2.91
19 S 0.4733 0.4733 0.7489  6 Sm 2.79-2.83
20 S 0.4736 0.4736 0.3923  6 Sm 2.79-2.83
21 S 0.6457 0.6457 0.1788  6 Sm 2.80-2.90
22 S 0.6457 0.6457 0.9624  6 Sm 2.80-2.90
23 S 0.7501 0.7501 0.4624  6 Sm 2.80-2.90
24 S 0.7497 0.7497 0.6788  6 Sm 2.80-2.90
25 S 0.9222 0.9222 0.2489  6 Sm 2.79-2.83
26 S 0.9221 0.9221 0.8923  6 Sm 2.79-2.83


[2]
MgP2 | GGA-PBE | optimized geometry

ΔH_f (0 K): -0.109 eV/atom
Density of states at the Fermi level: 0.7 states/eV/cell
SG: P4/mmm, No. 123

Cell lengths 3.6028, 3.6028, 4.0753 Å; angles 90.00, 90.00, 90.00 degrees
Last column: nearest neighbours and their distance in Å.
Sites, in units of the cell vectors:
1 Mg 0.0000 0.0000 0.0000  8 P 2.72
2 P 0.0000 0.5000 0.5000  4 P 2.55, 4 Mg 2.72
3 P 0.5000 0.0000 0.5000  4 P 2.55, 4 Mg 2.72


[3]
KZnNi2 | GGA-PBE | optimized geometry

ΔE to the lowest computed polymorph: 56 meV per atom
ΔH_f (0 K): 0.363 eV/atom
Density of states at the Fermi level: 3.9 states/eV/cell
SG: Pmmm, No. 47

Cell lengths 2.7447, 3.6081, 7.2612 Å; angles 90.00, 90.00, 90.00 degrees
Last column: nearest neighbours and their distance in Å.
Sites, in units of the cell vectors:
1 K 0.0000 0.0000 0.0000  2 K 2.74
2 Zn 0.0000 0.0000 0.5000  8 Ni 2.55, 2 Zn 2.74
3 Ni 0.5000 0.5000 0.3396  1 Ni 2.33, 4 Zn 2.55
4 Ni 0.5000 0.5000 0.6604  1 Ni 2.33, 4 Zn 2.55


[4]
Cs2RuPbBr6 | GGA-PBE | optimized geometry

Density of states at the Fermi level: 0.0 states/eV/cell
SG: Fm-3m, No. 225
Uncorrected formation energy: -0.96 eV per atom

Cell lengths 7.8751, 7.8751, 7.8751 Å; angles 60.00, 60.00, 60.00 degrees
Last column: nearest neighbours and their distance in Å.
Sites, in units of the cell vectors:
1 Cs 0.2500 0.2500 0.2500  12 Br 3.94
2 Cs 0.7500 0.7500 0.7500  12 Br 3.94
3 Ru 0.0000 0.0000 0.0000  6 Br 2.57
4 Pb 0.5000 0.5000 0.5000  6 Br 2.99
5 Br 0.2311 0.2311 0.7689  1 Ru 2.57
6 Br 0.2311 0.7689 0.2311  1 Ru 2.57
7 Br 0.2311 0.7689 0.7689  1 Ru 2.57
8 Br 0.7689 0.2311 0.2311  1 Ru 2.57
9 Br 0.7689 0.2311 0.7689  1 Ru 2.57
10 Br 0.7689 0.7689 0.2311  1 Ru 2.57


[5]
NaAs3O | GGA-PBE | optimized geometry

ΔE to the lowest computed polymorph: 1429 meV per atom
Density of states at the Fermi level: 5.9 states/eV/cell
SG: Pm-3m, No. 221
Uncorrected formation energy: 1.52 eV per atom

Cell lengths 4.9800, 4.9800, 4.9800 Å; angles 90.00, 90.00, 90.00 degrees
Last column: nearest neighbours and their distance in Å.
Sites, in units of the cell vectors:
1 Na 0.0000 0.0000 0.0000  6 As 2.49
2 As 0.0000 0.0000 0.5000  2 Na 2.49
3 As 0.0000 0.5000 0.0000  2 Na 2.49
4 As 0.5000 0.0000 0.0000  2 Na 2.49
5 O 0.5000 0.5000 0.5000  12 As 3.52


[6]
LiMgV3 | GGA-PBE | optimized geometry

ΔE to the lowest computed polymorph: 0 meV per atom
ΔH_f (0 K): 1.179 eV/atom
Density of states at the Fermi level: 7.7 states/eV/cell
SG: Pm-3m, No. 221

Cell lengths 4.2526, 4.2526, 4.2526 Å; angles 90.00, 90.00, 90.00 degrees
Last column: nearest neighbours and their distance in Å.
Sites, in units of the cell vectors:
1 Li 0.0000 0.0000 0.0000  6 V 2.13
2 Mg 0.5000 0.5000 0.5000  12 V 3.01
3 V 0.0000 0.0000 0.5000  2 Li 2.13
4 V 0.0000 0.5000 0.0000  2 Li 2.13
5 V 0.5000 0.0000 0.0000  2 Li 2.13


[7]
GdThSn | GGA-PBE | optimized geometry

ΔE to the lowest computed polymorph: 181 meV per atom
ΔH_f (0 K): -0.201 eV/atom
Density of states at the Fermi level: 3.7 states/eV/cell
SG: P3m1, No. 156

Cell lengths 5.3346, 5.3346, 3.6490 Å; angles 90.00, 90.00, 120.00 degrees
Last column: nearest neighbours and their distance in Å.
Sites, in units of the cell vectors:
1 Gd 0.0000 0.0000 0.0000  3 Sn 3.18, 3 Th 3.49
2 Th 0.6667 0.3333 0.5495  3 Sn 3.30, 6 Gd 3.49-3.68, 2 Th 3.65
3 Sn 0.3333 0.6667 0.2210  3 Gd 3.18, 3 Th 3.30


[8]
TaH2Ir | GGA-PBE | optimized geometry

ΔE to the lowest computed polymorph: 0 meV per atom
Density of states at the Fermi level: 7.7 states/eV/cell
SG: I-42d, No. 122

Cell lengths 5.2768, 5.2768, 5.2768 Å; angles 132.55, 132.55, 69.37 degrees
Last column: nearest neighbours and their distance in Å.
Sites, in units of the cell vectors:
1 Ta 0.0000 0.0000 0.0000  4 H 1.91
2 Ta 0.7500 0.2500 0.5000  4 H 1.91
3 H 0.1466 0.6250 0.0216  2 Ir 1.80, 2 Ta 1.91
4 H 0.3750 0.3966 0.5216  2 Ir 1.80, 2 Ta 1.91
5 H 0.6034 0.1250 0.9784  2 Ir 1.80, 2 Ta 1.91
6 H 0.8750 0.8534 0.4784  2 Ir 1.80, 2 Ta 1.91
7 Ir 0.2500 0.7500 0.5000  4 H 1.80
8 Ir 0.5000 0.5000 0.0000  4 H 1.80